1.
SiAgP after structural relaxation. Source: Alexandria, functional PBE.

Calculated values
space group = No. 216
total magnetic moment = 0.000 μB/atom
E_form (uncorrected) = 1.351 eV per formula unit
density of states at the Fermi level = 0.91 states/eV/cell
excess energy over the best structure of this formula in the dataset = 367 meV per atom

Cell and atoms, written as POSCAR:
```
SiAgP
1.0
0.000 3.051 3.051
3.051 0.000 3.051
3.051 3.051 0.000
Si Ag P
1 1 1
direct
0.000 0.000 0.000
0.500 0.500 0.500
0.750 0.750 0.750
```

2.
SbRuPbI2 after structural relaxation. Source: Alexandria, functional PBE.

Calculated values
space group = No. 123
total magnetic moment = 0.000 μB/atom
E_form (uncorrected) = 2.666 eV per formula unit
density of states at the Fermi level = 7.07 states/eV/cell
excess energy over the best structure of this formula in the dataset = 199 meV per atom

Cell and atoms, written as POSCAR:
```
SbRuPbI2
1.0
5.303 0.000 0.000
0.000 5.303 0.000
0.000 0.000 5.419
Sb Ru Pb I
1 1 1 2
direct
0.000 0.000 0.000
0.500 0.500 0.500
0.500 0.500 0.000
0.000 0.500 0.500
0.500 0.000 0.500
```

3.
SrCaY2 after structural relaxation. Source: Alexandria, functional PBE.

Calculated values
space group = No. 119
total magnetic moment = 0.491 μB/atom
formation energy = 215.7 meV/atom
density of states at the Fermi level = 6.90 states/eV/cell
excess energy over the best structure of this formula in the dataset = 132 meV per atom

Cell and atoms, written as POSCAR:
```
SrCaY2
1.0
-2.725 2.725 5.202
2.725 -2.725 5.202
2.725 2.725 -5.202
Sr Ca Y
1 1 2
direct
0.000 0.000 0.000
0.750 0.250 0.500
0.250 0.750 0.500
0.500 0.500 0.000
```

4.
TbPm2Ge4Pt3 after structural relaxation. Source: Alexandria, functional PBE.

Calculated values
space group = No. 115
total magnetic moment = 0.000 μB/atom
formation energy = -895.3 meV/atom
density of states at the Fermi level = 4.01 states/eV/cell

Cell and atoms, written as POSCAR:
```
TbPm2Ge4Pt3
1.0
4.298 0.000 0.000
0.000 4.298 0.000
0.000 0.000 11.348
Tb Pm Ge Pt
1 2 4 3
direct
0.000 0.000 0.000
0.000 0.500 0.731
0.500 0.000 0.269
0.000 0.000 0.500
0.000 0.500 0.164
0.500 0.000 0.836
0.500 0.500 0.500
0.000 0.500 0.382
0.500 0.000 0.618
0.500 0.500 0.000
```

5.
NaHgPd3 after structural relaxation. Source: Alexandria, functional PBE.

Calculated values
space group = No. 160
total magnetic moment = 0.000 μB/atom
formation energy = 37.2 meV/atom
density of states at the Fermi level = 2.41 states/eV/cell
excess energy over the best structure of this formula in the dataset = 0 meV per atom

Cell and atoms, written as POSCAR:
```
NaHgPd3
1.0
2.689 1.552 4.554
-2.689 1.552 4.554
0.000 -3.105 4.554
Na Hg Pd
1 1 3
direct
0.000 0.000 0.000
0.618 0.618 0.618
0.119 0.619 0.619
0.619 0.119 0.619
0.619 0.619 0.119
```

6.
LiBeTe2 after structural relaxation. Source: Alexandria, functional PBE.

Calculated values
space group = No. 123
total magnetic moment = 0.000 μB/atom
E_form (uncorrected) = 0.546 eV per formula unit
density of states at the Fermi level = 1.27 states/eV/cell

Cell and atoms, written as POSCAR:
```
LiBeTe2
1.0
3.728 0.000 0.000
0.000 3.728 0.000
0.000 0.000 6.248
Li Be Te
1 1 2
direct
0.000 0.000 0.000
0.000 0.000 0.500
0.500 0.500 0.259
0.500 0.500 0.741
```

7.
BaPmH6Pt2 after structural relaxation. Source: Alexandria, functional PBE.

Calculated values
space group = No. 15
total magnetic moment = 0.000 μB/atom
total DFT energy (no corrections) = -4.409 eV per atom
density of states at the Fermi level = 4.38 states/eV/cell

Cell and atoms, written as POSCAR:
```
BaPmH6Pt2
1.0
4.597 -4.441 0.000
4.597 4.441 0.000
-3.085 0.000 6.869
Ba Pm H Pt
2 2 12 4
direct
0.096 0.904 0.750
0.904 0.096 0.250
0.433 0.567 0.250
0.567 0.433 0.750
0.108 0.725 0.278
0.160 0.393 0.633
0.275 0.892 0.222
0.323 0.630 0.948
0.370 0.677 0.552
0.393 0.160 0.133
0.607 0.840 0.867
0.630 0.323 0.448
0.677 0.370 0.052
0.725 0.108 0.778
0.840 0.607 0.367
0.892 0.275 0.722
0.098 0.453 0.843
0.453 0.098 0.343
0.547 0.902 0.657
0.902 0.547 0.157
```

8.
VTcN2 after structural relaxation. Source: Alexandria, functional PBE.

Calculated values
space group = No. 225
total magnetic moment = 0.464 μB/atom
E_form (uncorrected) = 0.662 eV per formula unit
density of states at the Fermi level = 1.37 states/eV/cell
excess energy over the best structure of this formula in the dataset = 523 meV per atom

Cell and atoms, written as POSCAR:
```
VTcN2
1.0
0.000 2.628 2.628
2.628 0.000 2.628
2.628 2.628 0.000
V Tc N
1 1 2
direct
0.000 0.000 0.000
0.500 0.500 0.500
0.250 0.250 0.250
0.750 0.750 0.750
```

9.
Cs6ThCl12 after structural relaxation. Source: Alexandria, functional PBE.

Calculated values
space group = No. 148
total magnetic moment = 0.105 μB/atom
E_form (uncorrected) = -33.926 eV per formula unit
density of states at the Fermi level = 8.25 states/eV/cell

Cell and atoms, written as POSCAR:
```
Cs6ThCl12
1.0
7.331 4.233 4.659
-7.331 4.233 4.659
0.000 -8.465 4.659
Cs Th Cl
6 1 12
direct
0.164 0.623 0.278
0.278 0.164 0.623
0.377 0.722 0.836
0.623 0.278 0.164
0.722 0.836 0.377
0.836 0.377 0.722
0.000 0.000 0.000
0.018 0.722 0.939
0.061 0.982 0.278
0.138 0.467 0.575
0.278 0.061 0.982
0.425 0.862 0.533
0.467 0.575 0.138
0.533 0.425 0.862
0.575 0.138 0.467
0.722 0.939 0.018
0.862 0.533 0.425
0.939 0.018 0.722
0.982 0.278 0.061
```

10.
Hf2NbH6 after structural relaxation. Source: Alexandria, functional PBE.

Calculated values
space group = No. 12
total magnetic moment = 0.000 μB/atom
total DFT energy (no corrections) = -5.982 eV per atom
density of states at the Fermi level = 2.96 states/eV/cell

Cell and atoms, written as POSCAR:
```
Hf2NbH6
1.0
5.286 -2.232 0.000
5.286 2.232 0.000
-1.078 0.000 3.207
Hf Nb H
2 1 6
direct
0.164 0.164 0.164
0.836 0.836 0.836
0.500 0.500 0.500
0.088 0.582 0.335
0.261 0.739 0.000
0.418 0.912 0.665
0.582 0.088 0.335
0.739 0.261 0.000
0.912 0.418 0.665
```

11.
Li4CaZn4 after structural relaxation. Source: Alexandria, functional PBE.

Calculated values
space group = No. 139
total magnetic moment = 0.000 μB/atom
formation energy = -144.4 meV/atom
density of states at the Fermi level = 1.27 states/eV/cell

Cell and atoms, written as POSCAR:
```
Li4CaZn4
1.0
-4.609 4.609 1.922
4.609 -4.609 1.922
4.609 4.609 -1.922
Li Ca Zn
4 1 4
direct
0.000 0.325 0.325
0.000 0.675 0.675
0.325 0.000 0.325
0.675 0.000 0.675
0.000 0.000 0.000
0.314 0.314 0.629
0.314 0.686 0.000
0.686 0.314 0.000
0.686 0.686 0.371
```

12.
SrMo2Pt after structural relaxation. Source: Alexandria, functional PBE.

Calculated values
space group = No. 166
total magnetic moment = 0.000 μB/atom
formation energy = 777.1 meV/atom
density of states at the Fermi level = 6.09 states/eV/cell
excess energy over the best structure of this formula in the dataset = 567 meV per atom

Cell and atoms, written as POSCAR:
```
SrMo2Pt
1.0
1.443 0.833 10.407
-1.443 0.833 10.407
0.000 -1.667 10.407
Sr Mo Pt
1 2 1
direct
0.000 0.000 0.000
0.239 0.239 0.239
0.761 0.761 0.761
0.500 0.500 0.500
```

What did the sixth record say?
LiBeTe2 after structural relaxation. Source: Alexandria, functional PBE.

Calculated values
space group = No. 123
total magnetic moment = 0.000 μB/atom
E_form (uncorrected) = 0.546 eV per formula unit
density of states at the Fermi level = 1.27 states/eV/cell

Cell and atoms, written as POSCAR:
```
LiBeTe2
1.0
3.728 0.000 0.000
0.000 3.728 0.000
0.000 0.000 6.248
Li Be Te
1 1 2
direct
0.000 0.000 0.000
0.000 0.000 0.500
0.500 0.500 0.259
0.500 0.500 0.741
```